Record 1
An optimized crystal structure of CaAl2AsO6, computed with PBE.

a = 6.814 Å, b = 6.814 Å, c = 6.072 Å
α = 105.17°, β = 105.17°, γ = 100.73°
Element x y z (fractional)
1 Ca 0.101 0.899 0.750
2 Ca 0.899 0.101 0.250
3 Al 0.292 0.446 0.831
4 Al 0.446 0.292 0.331
5 Al 0.554 0.708 0.669
6 Al 0.708 0.554 0.169
7 As 0.211 0.789 0.250
8 As 0.789 0.211 0.750
9 O 0.038 0.221 0.694
10 O 0.145 0.636 0.917
11 O 0.221 0.038 0.194
12 O 0.333 0.427 0.543
13 O 0.364 0.855 0.583
14 O 0.427 0.333 0.043
15 O 0.573 0.667 0.957
16 O 0.636 0.145 0.417
17 O 0.667 0.573 0.457
18 O 0.779 0.962 0.806
19 O 0.855 0.364 0.083
20 O 0.962 0.779 0.306

Values from the calculation:
Formation energy from raw total energies   -2.41 eV/atom
Density of states at the Fermi level   0.150 states/eV per atom

Record 2
An optimized crystal structure of CaAlAs2Pb, computed with PBE.

a = 6.082 Å, b = 6.082 Å, c = 7.004 Å
α = 90.00°, β = 90.00°, γ = 90.00°
Element x y z (fractional)
1 Ca 0.000 0.000 0.000
2 Al 0.500 0.500 0.500
3 As 0.000 0.500 0.000
4 As 0.500 0.000 0.000
5 Pb 0.000 0.000 0.500

Values from the calculation:
Density of states at the Fermi level   0.926 states/eV per atom
E_form   1.058 eV per atom

Record 3
An optimized crystal structure of Ca2PmAl2As4, computed with PBE.

a = 7.860 Å, b = 7.860 Å, c = 7.258 Å
α = 107.24°, β = 107.24°, γ = 30.34°
Element x y z (fractional)
1 Ca 0.126 0.126 0.053
2 Ca 0.874 0.874 0.947
3 Pm 0.000 0.000 0.500
4 Al 0.326 0.326 0.510
5 Al 0.674 0.674 0.490
6 As 0.214 0.214 0.713
7 As 0.476 0.476 0.775
8 As 0.524 0.524 0.225
9 As 0.786 0.786 0.287

Values from the calculation:
Density of states at the Fermi level   0.343 states/eV per atom
E_form   -0.881 eV per atom

Record 4
An optimized crystal structure of Ca2PuAl2As4, computed with PBE.

a = 7.794 Å, b = 7.794 Å, c = 7.201 Å
α = 106.76°, β = 106.76°, γ = 30.33°
Element x y z (fractional)
1 Ca 0.126 0.126 0.053
2 Ca 0.874 0.874 0.947
3 Pu 0.000 0.000 0.500
4 Al 0.329 0.329 0.508
5 Al 0.671 0.671 0.492
6 As 0.214 0.214 0.713
7 As 0.479 0.479 0.774
8 As 0.521 0.521 0.226
9 As 0.786 0.786 0.287

Values from the calculation:
Density of states at the Fermi level   1.108 states/eV per atom
E_form   -0.812 eV per atom

Record 5
An optimized crystal structure of CaAlAsRu2, computed with PBE.

a = 4.606 Å, b = 4.606 Å, c = 4.784 Å
α = 90.00°, β = 90.00°, γ = 90.00°
Element x y z (fractional)
1 Ca 0.000 0.000 0.000
2 Al 0.500 0.500 0.500
3 As 0.500 0.500 0.000
4 Ru 0.000 0.500 0.500
5 Ru 0.500 0.000 0.500

Values from the calculation:
Density of states at the Fermi level   1.033 states/eV per atom
E_form   0.506 eV per atom

Record 6
An optimized crystal structure of CaAl2AsS6, computed with PBE.

a = 8.479 Å, b = 8.479 Å, c = 7.134 Å
α = 105.15°, β = 105.15°, γ = 83.17°
Element x y z (fractional)
1 Ca 0.126 0.874 0.750
2 Ca 0.874 0.126 0.250
3 Al 0.228 0.385 0.795
4 Al 0.385 0.228 0.295
5 Al 0.615 0.772 0.705
6 Al 0.772 0.615 0.205
7 As 0.222 0.778 0.250
8 As 0.778 0.222 0.750
9 S 0.024 0.193 0.658
10 S 0.092 0.622 0.907
11 S 0.193 0.024 0.158
12 S 0.288 0.427 0.519
13 S 0.378 0.908 0.593
14 S 0.427 0.288 0.019
15 S 0.573 0.712 0.981
16 S 0.622 0.092 0.407
17 S 0.712 0.573 0.481
18 S 0.807 0.976 0.842
19 S 0.908 0.378 0.093
20 S 0.976 0.807 0.342

Values from the calculation:
Formation energy from raw total energies   -0.84 eV/atom
Density of states at the Fermi level   0.387 states/eV per atom

Record 7
An optimized crystal structure of CaAlAsSe2, computed with PBE.

a = 5.442 Å, b = 5.442 Å, c = 5.457 Å
α = 90.00°, β = 90.00°, γ = 90.00°
Element x y z (fractional)
1 Ca 0.000 0.000 0.000
2 Al 0.500 0.500 0.500
3 As 0.000 0.000 0.500
4 Se 0.000 0.500 0.000
5 Se 0.500 0.000 0.000

Values from the calculation:
Formation energy from raw total energies   0.33 eV/atom
Density of states at the Fermi level   1.348 states/eV per atom
Energy above the lowest structure with this stoichiometry   0.8595 eV per atom

Record 8
An optimized crystal structure of CaAlAsSe2, computed with PBE.

a = 5.092 Å, b = 5.092 Å, c = 4.737 Å
α = 90.00°, β = 90.00°, γ = 90.00°
Element x y z (fractional)
1 Ca 0.000 0.000 0.000
2 Al 0.500 0.500 0.500
3 As 0.500 0.500 0.000
4 Se 0.000 0.500 0.500
5 Se 0.500 0.000 0.500

Values from the calculation:
Formation energy from raw total energies   -0.52 eV/atom
Density of states at the Fermi level   0.937 states/eV per atom
Energy above the lowest structure with this stoichiometry   0.0000 eV per atom

Record 9
An optimized crystal structure of CaAlAs2Se, computed with PBE.

a = 5.424 Å, b = 5.424 Å, c = 5.352 Å
α = 90.00°, β = 90.00°, γ = 90.00°
Element x y z (fractional)
1 Ca 0.000 0.000 0.000
2 Al 0.500 0.500 0.500
3 As 0.000 0.500 0.000
4 As 0.500 0.000 0.000
5 Se 0.000 0.000 0.500

Values from the calculation:
Formation energy from raw total energies   0.59 eV/atom
Density of states at the Fermi level   1.167 states/eV per atom
Energy above the lowest structure with this stoichiometry   0.8751 eV per atom

Record 10
An optimized crystal structure of CaAlAs2Se, computed with PBE.

a = 4.848 Å, b = 4.848 Å, c = 5.170 Å
α = 90.00°, β = 90.00°, γ = 90.00°
Element x y z (fractional)
1 Ca 0.000 0.000 0.000
2 Al 0.500 0.500 0.500
3 As 0.000 0.500 0.500
4 As 0.500 0.000 0.500
5 Se 0.500 0.500 0.000

Values from the calculation:
Formation energy from raw total energies   -0.29 eV/atom
Density of states at the Fermi level   0.805 states/eV per atom
Energy above the lowest structure with this stoichiometry   0.0000 eV per atom

Record 11
An optimized crystal structure of SrCa2Al2As4, computed with PBE.

a = 8.487 Å, b = 8.487 Å, c = 8.333 Å
α = 118.68°, β = 118.68°, γ = 27.41°
Element x y z (fractional)
1 Sr 0.000 0.000 0.000
2 Ca 0.112 0.112 0.640
3 Ca 0.888 0.888 0.360
4 Al 0.328 0.328 0.624
5 Al 0.672 0.672 0.376
6 As 0.227 0.227 0.266
7 As 0.490 0.490 0.701
8 As 0.510 0.510 0.299
9 As 0.773 0.773 0.734

Values from the calculation:
E_form   -0.868 eV per atom

Record 12
An optimized crystal structure of SrCaAl2As, computed with PBE.

a = 5.426 Å, b = 5.426 Å, c = 6.404 Å
α = 90.00°, β = 90.00°, γ = 90.00°
Element x y z (fractional)
1 Sr 0.000 0.000 0.000
2 Ca 0.000 0.000 0.500
3 Al 0.000 0.500 0.500
4 Al 0.500 0.000 0.500
5 As 0.500 0.500 0.000

Values from the calculation:
Density of states at the Fermi level   1.043 states/eV per atom
E_form   1.000 eV per atom

Record 13
An optimized crystal structure of Ca3U3AlAs8, computed with PBE.

a = 8.114 Å, b = 8.114 Å, c = 8.357 Å
α = 119.01°, β = 119.01°, γ = 60.04°
Element x y z (fractional)
1 Ca 0.000 0.000 0.000
2 Ca 0.000 0.500 0.000
3 Ca 0.500 0.000 0.000
4 U 0.000 0.500 0.500
5 U 0.500 0.000 0.500
6 U 0.500 0.500 0.500
7 Al 0.000 0.000 0.500
8 As 0.237 0.237 0.719
9 As 0.238 0.744 0.720
10 As 0.256 0.256 0.267
11 As 0.256 0.762 0.280
12 As 0.744 0.238 0.720
13 As 0.744 0.744 0.733
14 As 0.762 0.256 0.280
15 As 0.763 0.763 0.281

Values from the calculation:
Density of states at the Fermi level   1.048 states/eV per atom
E_form   -0.676 eV per atom

Record 14
An optimized crystal structure of Ca4U3AlAs8, computed with PBE.

a = 8.333 Å, b = 8.333 Å, c = 8.333 Å
α = 59.12°, β = 59.12°, γ = 59.12°
Element x y z (fractional)
1 Ca 0.000 0.000 0.000
2 Ca 0.000 0.500 0.500
3 Ca 0.500 0.000 0.500
4 Ca 0.500 0.500 0.000
5 U 0.000 0.000 0.500
6 U 0.000 0.500 0.000
7 U 0.500 0.000 0.000
8 Al 0.500 0.500 0.500
9 As 0.244 0.244 0.244
10 As 0.249 0.738 0.738
11 As 0.262 0.262 0.751
12 As 0.262 0.751 0.262
13 As 0.738 0.249 0.738
14 As 0.738 0.738 0.249
15 As 0.751 0.262 0.262
16 As 0.756 0.756 0.756

Values from the calculation:
Density of states at the Fermi level   1.266 states/eV per atom
E_form   -0.850 eV per atom

Record 15
An optimized crystal structure of CaZr2AlAs, computed with PBE.

a = 5.035 Å, b = 5.035 Å, c = 5.118 Å
α = 90.00°, β = 90.00°, γ = 90.00°
Element x y z (fractional)
1 Ca 0.000 0.000 0.000
2 Zr 0.000 0.500 0.000
3 Zr 0.500 0.000 0.000
4 Al 0.000 0.000 0.500
5 As 0.500 0.500 0.500

Values from the calculation:
Density of states at the Fermi level   1.158 states/eV per atom
E_form   1.513 eV per atom

Record 16
An optimized crystal structure of AlCd2As, computed with PBE.

a = 10.110 Å, b = 10.110 Å, c = 10.110 Å
α = 17.56°, β = 17.56°, γ = 17.56°
Element x y z (fractional)
1 Al 0.000 0.000 0.000
2 Cd 0.251 0.251 0.251
3 Cd 0.749 0.749 0.749
4 As 0.500 0.500 0.500

Values from the calculation:
Density of states at the Fermi level   0.297 states/eV per atom
Energy above the lowest structure with this stoichiometry   0.1261 eV per atom
E_form   0.164 eV per atom

Record 17
An optimized crystal structure of AlCd2As, computed with PBE.

a = 3.485 Å, b = 3.485 Å, c = 8.044 Å
α = 90.00°, β = 90.00°, γ = 90.00°
Element x y z (fractional)
1 Al 0.000 0.000 0.000
2 Cd 0.000 0.000 0.335
3 Cd 0.500 0.500 0.568
4 As 0.500 0.500 0.903

Values from the calculation:
Density of states at the Fermi level   0.331 states/eV per atom
Energy above the lowest structure with this stoichiometry   0.0000 eV per atom
E_form   0.038 eV per atom

Record 18
An optimized crystal structure of AlCd2As, computed with PBE.

a = 4.978 Å, b = 4.978 Å, c = 4.978 Å
α = 60.00°, β = 60.00°, γ = 60.00°
Element x y z (fractional)
1 Al 0.000 0.000 0.000
2 Cd 0.250 0.250 0.250
3 Cd 0.750 0.750 0.750
4 As 0.500 0.500 0.500

Values from the calculation:
Density of states at the Fermi level   0.311 states/eV per atom
Energy above the lowest structure with this stoichiometry   0.1991 eV per atom
E_form   0.237 eV per atom

Record 19
An optimized crystal structure of Al2Cd2As, computed with PBE.

a = 6.700 Å, b = 6.700 Å, c = 4.815 Å
α = 90.00°, β = 90.00°, γ = 90.00°
Element x y z (fractional)
1 Al 0.140 0.360 0.000
2 Al 0.360 0.860 0.000
3 Al 0.640 0.140 0.000
4 Al 0.860 0.640 0.000
5 Cd 0.171 0.671 0.500
6 Cd 0.329 0.171 0.500
7 Cd 0.671 0.829 0.500
8 Cd 0.829 0.329 0.500
9 As 0.000 0.000 0.000
10 As 0.500 0.500 0.000

Values from the calculation:
Density of states at the Fermi level   0.487 states/eV per atom
Energy above the lowest structure with this stoichiometry   0.0000 eV per atom
E_form   0.150 eV per atom

Record 20
An optimized crystal structure of AlCd2As, computed with PBE.

a = 2.881 Å, b = 5.372 Å, c = 5.569 Å
α = 90.00°, β = 94.03°, γ = 90.00°
Element x y z (fractional)
1 Al 0.000 0.000 0.000
2 Cd 0.000 0.500 0.498
3 Cd 0.500 0.000 0.500
4 As 0.000 0.500 0.998

Values from the calculation:
Density of states at the Fermi level   0.490 states/eV per atom
Energy above the lowest structure with this stoichiometry   0.0720 eV per atom
E_form   0.110 eV per atom

It is found that the E_tot values, taken in the order of the records, are -136.03 -13.46 -42.76 -51.73 -26.41 -94.54 -15.69 -19.99 -15.58 -19.96 -39.58 -10.82 -90.95 -96.41 -19.92 -9.57 -10.07 -9.27 -26.43 -9.78 eV/cell.